# 1
Crystalline KTmNi at its relaxed geometry, computed with PBE-GGA.

Total DFT energy (no corrections), eV for the cell shown: -8.37
Magnetic moment, μB/cell: 0.00
SG: No. 216

a = 4.8732 Å, b = 4.8732 Å, c = 4.8732 Å
α = 60.00°, β = 60.00°, γ = 60.00°
Fractional positions:
K: 0.0000 0.0000 0.0000
Tm: 0.2500 0.2500 0.2500
Ni: 0.5000 0.5000 0.5000

# 2
Crystalline KYTmNi2 at its relaxed geometry, computed with PBE-GGA.

Total DFT energy (no corrections), eV for the cell shown: -24.00
Magnetic moment, μB/cell: 0.02
SG: No. 38

a = 3.6791 Å, b = 9.2715 Å, c = 9.2715 Å
α = 24.88°, β = 90.00°, γ = 90.00°
Fractional positions:
K: 0.0000 0.0000 0.0000
Y: 0.5000 0.3278 0.3278
Tm: 0.5000 0.6698 0.6698
Ni: 0.0000 0.2025 0.2025
Ni: 0.0000 0.7866 0.7866

# 3
Crystalline KUNi at its relaxed geometry, computed with PBE-GGA.

Total DFT energy (no corrections), eV for the cell shown: -14.23
Magnetic moment, μB/cell: 2.98
SG: No. 216

a = 4.8650 Å, b = 4.8650 Å, c = 4.8650 Å
α = 60.00°, β = 60.00°, γ = 60.00°
Fractional positions:
K: 0.0000 0.0000 0.0000
U: 0.5000 0.5000 0.5000
Ni: 0.7500 0.7500 0.7500

# 4
Crystalline K2NpP2 at its relaxed geometry, computed with PBE-GGA.

Total DFT energy (no corrections), eV for the cell shown: -54.14
Magnetic moment, μB/cell: 9.08
SG: No. 63

a = 9.1439 Å, b = 9.1439 Å, c = 5.5383 Å
α = 90.00°, β = 90.00°, γ = 136.98°
Fractional positions:
K: 0.1084 0.8916 0.7500
K: 0.2764 0.7236 0.2500
K: 0.7236 0.2764 0.7500
K: 0.8916 0.1084 0.2500
Np: 0.5000 0.5000 0.0000
Np: 0.5000 0.5000 0.5000
P: 0.2023 0.4587 0.7500
P: 0.4587 0.2023 0.2500
P: 0.5413 0.7977 0.7500
P: 0.7977 0.5413 0.2500